3
Lattice="-1.838 1.838 5.650 1.838 -1.838 5.650 1.838 1.838 -5.650" Properties=species:S:1:pos:R:3 comment="CeSmPd (PBE, relaxed)" dos_ef_per_ev_cell=5.41 final_energy_ry_per_atom=-0.417 de_polymorph_mev_per_atom=5 e_form_kj_per_mol_atoms=-38.3 m_tot_mub_per_fu=0.5 pbc="T T T"
Ce 0.000 0.000 0.000
Sm 0.000 0.000 7.975
Pd 0.000 0.000 4.147

12
Lattice="4.162 0.000 0.000 0.000 4.162 0.000 0.000 0.000 12.503" Properties=species:S:1:pos:R:3 comment="CeSm2Pd9 (PBE, relaxed)" dos_ef_per_ev_cell=6.97 final_energy_ry_per_atom=-0.441 e_form_kj_per_mol_atoms=-80.2 m_tot_mub_per_fu=0.0 pbc="T T T"
Ce 0.000 0.000 0.000
Sm 0.000 0.000 4.176
Sm 0.000 0.000 8.327
Pd 0.000 2.081 2.028
Pd 0.000 2.081 6.251
Pd 0.000 2.081 10.475
Pd 2.081 0.000 2.028
Pd 2.081 0.000 6.251
Pd 2.081 0.000 10.475
Pd 2.081 2.081 0.000
Pd 2.081 2.081 4.142
Pd 2.081 2.081 8.361